[1]
Material: BeCuSi2
Method: DFT, GGA-PBE
State: relaxed

```
BeCuSi2
1.0
-0.137 -0.341 -2.598
2.169 -1.474 0.079
-3.903 -5.692 0.953
Be Si Cu
1 2 1
direct
0.000 0.000 0.509
0.000 0.000 0.983
0.500 0.500 0.282
0.500 0.500 0.726
```

Computed properties:
**Raw formation energy**: 209 meV per atom
**Space-group type**: No. 99
**Magnetization**: 0.000 μB per formula unit
**Mass density**: 4.5 g/cm3
**Raw total energy**: -4.458 eV/atom

[2]
Material: SrOsAu2
Method: DFT, GGA-PBE
State: relaxed

```
SrOsAu2
1.0
-1.443 9.826 1.962
-3.242 8.685 4.068
-0.313 9.006 4.613
Au Os Sr
2 1 1
direct
0.992 0.992 0.992
0.508 0.508 0.508
0.250 0.250 0.250
0.750 0.750 0.750
```

Computed properties:
**DFT formation energy**: 2.857 eV per formula unit
**Space-group type**: No. 166
**Magnetization**: 0.001 μB per formula unit
**Mass density**: 14.4 g/cm3
**Energy relative to the lowest polymorph listed for this composition**: 0.382 eV per atom
**Raw total energy**: -4.152 eV/atom

[3]
Material: Rb2PuAgBr5
Method: DFT, GGA-PBE
State: relaxed

```
Rb2PuAgBr5
1.0
-3.484 2.953 -2.644
-0.771 -3.957 -3.404
-9.303 -4.455 7.284
Rb Pu Ag Br
2 1 1 5
direct
0.500 0.500 0.313
0.500 0.500 0.687
0.000 0.000 0.000
0.000 0.000 0.500
0.000 0.500 0.500
0.500 0.000 0.500
0.000 0.000 0.774
0.000 0.000 0.226
0.500 0.500 0.000
```

Computed properties:
**Raw formation energy**: -1161 meV per atom
**Space-group type**: No. 123
**Magnetization**: 6.014 μB per formula unit
**Mass density**: 4.4 g/cm3
**Raw total energy**: -4.214 eV/atom

[4]
Material: La4FeBi2
Method: DFT, GGA-PBE
State: relaxed

```
La4FeBi2
1.0
-4.527 -0.995 1.923
0.084 -4.534 -2.148
6.063 -0.619 7.406
Fe Bi La
1 2 4
direct
0.000 0.000 0.000
0.643 0.643 0.286
0.357 0.357 0.714
0.832 0.832 0.664
0.168 0.168 0.336
0.000 0.500 0.000
0.500 0.000 0.000
```

Computed properties:
**DFT formation energy**: -4.251 eV per formula unit
**Space-group type**: No. 139
**Magnetization**: 0.000 μB per formula unit
**Mass density**: 7.6 g/cm3
**Raw total energy**: -5.741 eV/atom